20
Lattice="-3.7022 3.7022 3.7022 3.7022 -3.7022 3.7022 3.7022 3.7022 -3.7022" Properties=species:S:1:pos:R:3 comment="HoMn4Cu3O12, optimized geometry, DFT GGA+U" magmom_total_mub_per_fu=14.03 volume_a3_per_cell=203.0 final_energy_ev_per_atom=-6.737 pbc="T T T"
Ho 0.0000 0.0000 0.0000
Mn 1.8511 1.8511 -1.8511
Mn 1.8511 -1.8511 1.8511
Mn -1.8511 1.8511 1.8511
Mn 1.8511 1.8511 1.8511
Cu 3.7022 0.0000 0.0000
Cu 0.0000 3.7022 0.0000
Cu 0.0000 0.0000 3.7022
O 3.7022 -1.4658 2.4495
O 2.2364 1.2527 0.0000
O 5.1680 1.2527 0.0000
O 2.4495 3.7022 -1.4658
O 1.2527 0.0000 2.2364
O 0.0000 2.2364 1.2527
O 3.7022 1.4658 2.4495
O 2.4495 3.7022 1.4658
O 1.2527 0.0000 5.1680
O -1.4658 2.4495 3.7022
O 1.4658 2.4495 3.7022
O 0.0000 5.1680 1.2527